Computed, not measured: a geometry-optimized Li2AuSe structure at the PBE level of DFT.

Computed properties:
- formation energy without anion corrections (eV/atom) = -0.622
- energy above the most stable polymorph in this dataset (meV per atom) = 49
- N(E_F) (states/eV/atom) = 0.3414

Cell: 3.092 3.092 6.913 Å, 90.00 90.00 89.98°
Sites, in units of the cell vectors:
Au (0.500, 0.500, 0.750)
Li (0.000, 0.000, 0.010)
Li (0.000, 0.000, 0.490)
Se (0.500, 0.500, 0.250)